Here is a geometry-optimized BeCrPb2 structure from the Alexandria database. Energies are from PBE.

Structure (POSCAR):
```
BeCrPb2
1.0
-0.1665 -3.3883 1.2075
3.4206 0.2249 1.1025
-2.0495 2.2065 5.9088
Be Pb Cr
1 2 1
direct
0.5000 0.5000 0.2500
0.0000 0.0000 0.0129
0.0000 0.0000 0.4871
0.5000 0.5000 0.7500
```

VASP energy = -4.487 eV/atom
Total moment = 4.056 μB per formula unit
Space-group type = P4/mmm